# 1
Here is Mn2TeRu after structural relaxation from the Alexandria database. Energies are from PBEsol.

Cell lengths 3.337, 3.337, 5.482 Å; angles 90.00, 90.00, 90.00 degrees
Space group P4/mmm (No. 123)
Unique sites:
Mn 0.000 0.000 0.237 x2
Te 0.500 0.500 0.500 x1
Ru 0.500 0.500 0.000 x1

Computed properties:
energy relative to the elements, uncorrected = 0.383 eV/atom
volume = 61 Å³/f.u.

# 2
Here is TiMnRu3 after structural relaxation from the Alexandria database. Energies are from PBEsol.

Cell lengths 4.409, 4.409, 4.409 Å; angles 90.00, 90.00, 90.00 degrees
Space group Pm-3m (No. 221)
Unique sites:
Ti 0.000 0.000 0.000 x1
Mn 0.500 0.500 0.500 x1
Ru 0.000 0.000 0.500 x3

Computed properties:
energy relative to the elements = 6.597 eV/f.u.
volume = 86 Å³/f.u.

# 3
Here is Ti2MnRu after structural relaxation from the Alexandria database. Energies are from PBEsol.

Cell lengths 5.990, 5.990, 5.990 Å; angles 90.00, 90.00, 90.00 degrees
Space group Fm-3m (No. 225)
Unique sites:
Ti 0.250 0.250 0.250 x8
Mn 0.000 0.000 0.000 x4
Ru 0.000 0.000 0.500 x4

Computed properties:
energy relative to the elements = -1.933 eV/f.u.
volume = 54 Å³/f.u.

# 4
Here is MnTl2Ru after structural relaxation from the Alexandria database. Energies are from PBEsol.

Cell lengths 3.304, 3.304, 6.376 Å; angles 90.00, 90.00, 90.00 degrees
Space group P4/mmm (No. 123)
Unique sites:
Mn 0.000 0.000 0.000 x1
Tl 0.500 0.500 0.254 x2
Ru 0.000 0.000 0.500 x1

Computed properties:
energy relative to the elements = 2.382 eV/f.u.
volume = 70 Å³/f.u.
distance to the lowest polymorph of the same formula = 0 meV per atom

# 5
Here is MnTl2Ru after structural relaxation from the Alexandria database. Energies are from PBEsol.

Cell lengths 4.347, 4.347, 3.696 Å; angles 90.00, 90.00, 90.00 degrees
Space group P4/mmm (No. 123)
Unique sites:
Mn 0.000 0.000 0.000 x1
Tl 0.000 0.500 0.500 x2
Ru 0.500 0.500 0.000 x1

Computed properties:
energy relative to the elements = 2.427 eV/f.u.
volume = 70 Å³/f.u.
distance to the lowest polymorph of the same formula = 11 meV per atom

# 6
Here is MnTlRu2 after structural relaxation from the Alexandria database. Energies are from PBEsol.

Cell lengths 2.849, 3.784, 5.630 Å; angles 90.00, 90.00, 90.00 degrees
Space group Pmm2 (No. 25)
Unique sites:
Mn 0.000 0.000 0.000 x1
Tl 0.500 0.500 0.721 x1
Ru 0.000 0.000 0.432 x1
Ru 0.500 0.500 0.223 x1

Computed properties:
energy relative to the elements = 1.748 eV/f.u.
volume = 61 Å³/f.u.

# 7
Here is Mn3TlRu after structural relaxation from the Alexandria database. Energies are from PBEsol.

Cell lengths 4.684, 4.684, 4.684 Å; angles 90.00, 90.00, 90.00 degrees
Space group Pm-3m (No. 221)
Unique sites:
Mn 0.000 0.000 0.500 x3
Tl 0.500 0.500 0.500 x1
Ru 0.000 0.000 0.000 x1

Computed properties:
energy relative to the elements = 6.140 eV/f.u.
volume = 103 Å³/f.u.

# 8
Here is MnTl2Ru after structural relaxation from the Alexandria database. Energies are from PBEsol.

Cell lengths 6.303, 6.604, 3.359 Å; angles 90.00, 90.00, 90.00 degrees
Space group Cmmm (No. 65)
Unique sites:
Mn 0.000 0.000 0.000 x2
Tl 0.250 0.250 0.500 x4
Ru 0.000 0.500 0.000 x2

Computed properties:
energy relative to the elements = 2.430 eV/f.u.
volume = 70 Å³/f.u.
distance to the lowest polymorph of the same formula = 12 meV per atom

# 9
Here is MnRuW2 after structural relaxation from the Alexandria database. Energies are from PBEsol.

Cell lengths 2.698, 4.097, 5.266 Å; angles 90.00, 104.02, 90.00 degrees
Space group P2/m (No. 10)
Unique sites:
Mn 0.000 0.000 0.000 x1
Ru 0.500 0.000 0.500 x1
W 0.233 0.500 0.756 x2

Computed properties:
energy relative to the elements = 0.745 eV/f.u.
volume = 56 Å³/f.u.

# 10
Here is MnRu2W after structural relaxation from the Alexandria database. Energies are from PBEsol.

Cell lengths 2.6808, 2.6808, 25.9230 Å; angles 90.00, 90.00, 120.00 degrees
Space group R3m (No. 160, hexagonal axes)
Unique sites:
Mn 0.0000 0.0000 0.0000 x3
Ru 0.0000 0.0000 0.2578 x3
Ru 0.0000 0.0000 0.5044 x3
W 0.0000 0.0000 0.7525 x3

Computed properties:
energy relative to the elements = 0.933 eV/f.u.
volume = 54 Å³/f.u.
distance to the lowest polymorph of the same formula = 182 meV per atom

# 11
Here is MnRuW2 after structural relaxation from the Alexandria database. Energies are from PBEsol.

Cell lengths 3.855, 3.855, 7.570 Å; angles 90.00, 90.00, 90.00 degrees
Space group I4/mmm (No. 139)
Unique sites:
Mn 0.000 0.000 0.000 x2
Ru 0.000 0.000 0.500 x2
W 0.000 0.500 0.250 x4

Computed properties:
energy relative to the elements = 0.753 eV/f.u.
volume = 56 Å³/f.u.

# 12
Here is MnRu2W after structural relaxation from the Alexandria database. Energies are from PBEsol.

Cell lengths 5.285, 8.638, 2.650 Å; angles 90.00, 114.51, 90.00 degrees
Space group C2/m (No. 12)
Unique sites:
Mn 0.000 0.000 0.000 x2
Ru 0.250 0.250 0.500 x4
W 0.000 0.500 0.000 x2

Computed properties:
energy relative to the elements = 1.145 eV/f.u.
volume = 55 Å³/f.u.
distance to the lowest polymorph of the same formula = 235 meV per atom

# 13
Here is MnRu2W after structural relaxation from the Alexandria database. Energies are from PBEsol.

Cell lengths 3.795, 3.795, 3.717 Å; angles 90.00, 90.00, 90.00 degrees
Space group P4/mmm (No. 123)
Unique sites:
Mn 0.000 0.000 0.000 x1
Ru 0.000 0.500 0.500 x2
W 0.500 0.500 0.000 x1

Computed properties:
energy relative to the elements = 0.204 eV/f.u.
volume = 54 Å³/f.u.
distance to the lowest polymorph of the same formula = 0 meV per atom

# 14
Here is MnRu2W after structural relaxation from the Alexandria database. Energies are from PBEsol.

Cell lengths 6.063, 6.063, 6.063 Å; angles 90.00, 90.00, 90.00 degrees
Space group Fm-3m (No. 225)
Unique sites:
Mn 0.000 0.000 0.000 x4
Ru 0.250 0.250 0.250 x8
W 0.000 0.000 0.500 x4

Computed properties:
energy relative to the elements = 0.348 eV/f.u.
volume = 56 Å³/f.u.
distance to the lowest polymorph of the same formula = 36 meV per atom

# 15
Here is MnRu2W after structural relaxation from the Alexandria database. Energies are from PBEsol.

Cell lengths 2.679, 2.679, 7.391 Å; angles 90.00, 90.00, 90.00 degrees
Space group P4mm (No. 99)
Unique sites:
Mn 0.000 0.000 0.000 x1
Ru 0.000 0.000 0.479 x1
Ru 0.500 0.500 0.218 x1
W 0.500 0.500 0.747 x1

Computed properties:
energy relative to the elements = 0.624 eV/f.u.
volume = 53 Å³/f.u.
distance to the lowest polymorph of the same formula = 105 meV per atom

# 16
Here is YMnRu after structural relaxation from the Alexandria database. Energies are from PBEsol.

Cell lengths 5.982, 5.982, 5.982 Å; angles 90.00, 90.00, 90.00 degrees
Space group F-43m (No. 216)
Unique sites:
Y 0.000 0.000 0.000 x4
Mn 0.250 0.250 0.750 x4
Ru 0.000 0.000 0.500 x4

Computed properties:
energy relative to the elements = 1.611 eV/f.u.
volume = 54 Å³/f.u.

# 17
Here is Mn2ZnRu after structural relaxation from the Alexandria database. Energies are from PBEsol.

Cell lengths 2.782, 4.261, 8.319 Å; angles 90.00, 90.00, 90.00 degrees
Space group Cmm2 (No. 35)
Unique sites:
Mn 0.000 0.000 0.000 x2
Mn 0.000 0.500 0.227 x2
Zn 0.000 0.500 0.745 x2
Ru 0.000 0.000 0.476 x2

Computed properties:
energy relative to the elements = 0.966 eV/f.u.
volume = 49 Å³/f.u.

# 18
Here is MnZnRu2 after structural relaxation from the Alexandria database. Energies are from PBEsol.

Cell lengths 2.895, 4.186, 4.370 Å; angles 90.00, 90.00, 90.00 degrees
Space group Pmmm (No. 47)
Unique sites:
Mn 0.000 0.000 0.000 x1
Zn 0.500 0.000 0.500 x1
Ru 0.000 0.500 0.500 x1
Ru 0.500 0.500 0.000 x1

Computed properties:
energy relative to the elements = 1.119 eV/f.u.
volume = 53 Å³/f.u.

# 19
Here is MnZnRu2 after structural relaxation from the Alexandria database. Energies are from PBEsol.

Cell lengths 2.661, 2.661, 7.349 Å; angles 90.00, 90.00, 90.00 degrees
Space group P4mm (No. 99)
Unique sites:
Mn 0.000 0.000 0.000 x1
Zn 0.500 0.500 0.752 x1
Ru 0.000 0.000 0.491 x1
Ru 0.500 0.500 0.252 x1

Computed properties:
energy relative to the elements = 0.434 eV/f.u.
volume = 52 Å³/f.u.

# 20
Here is MnZnRu2 after structural relaxation from the Alexandria database. Energies are from PBEsol.

Cell lengths 2.681, 3.744, 5.170 Å; angles 90.00, 90.00, 90.00 degrees
Space group Pmm2 (No. 25)
Unique sites:
Mn 0.000 0.000 0.000 x1
Zn 0.500 0.500 0.758 x1
Ru 0.000 0.000 0.495 x1
Ru 0.500 0.500 0.257 x1

Computed properties:
energy relative to the elements = 0.418 eV/f.u.
volume = 52 Å³/f.u.

# 21
Here is MnZnRu after structural relaxation from the Alexandria database. Energies are from PBEsol.

Cell lengths 5.681, 5.681, 5.681 Å; angles 90.00, 90.00, 90.00 degrees
Space group F-43m (No. 216)
Unique sites:
Mn 0.000 0.000 0.000 x4
Zn 0.250 0.250 0.750 x4
Ru 0.000 0.000 0.500 x4

Computed properties:
energy relative to the elements = 2.154 eV/f.u.
volume = 46 Å³/f.u.
distance to the lowest polymorph of the same formula = 679 meV per atom

# 22
Here is MnZnRu2 after structural relaxation from the Alexandria database. Energies are from PBEsol.

Cell lengths 8.808, 2.731, 4.412 Å; angles 90.00, 101.32, 90.00 degrees
Space group Cm (No. 8)
Unique sites:
Mn 0.000 0.000 0.000 x2
Zn 0.248 0.000 0.764 x2
Ru 0.251 0.500 0.265 x2
Ru 0.496 0.000 0.493 x2

Computed properties:
energy relative to the elements = 0.577 eV/f.u.
volume = 52 Å³/f.u.

# 23
Here is MnZnRu2 after structural relaxation from the Alexandria database. Energies are from PBEsol.

Cell lengths 2.906, 2.906, 6.048 Å; angles 90.00, 90.00, 90.00 degrees
Space group P4/mmm (No. 123)
Unique sites:
Mn 0.000 0.000 0.000 x1
Zn 0.000 0.000 0.500 x1
Ru 0.500 0.500 0.239 x2

Computed properties:
energy relative to the elements = 0.230 eV/f.u.
volume = 51 Å³/f.u.

# 24
Here is MnZnRu2 after structural relaxation from the Alexandria database. Energies are from PBEsol.

Cell lengths 2.757, 4.372, 8.733 Å; angles 90.00, 90.00, 90.00 degrees
Space group Immm (No. 71)
Unique sites:
Mn 0.000 0.000 0.000 x2
Zn 0.000 0.000 0.500 x2
Ru 0.000 0.500 0.273 x4

Computed properties:
energy relative to the elements = 0.756 eV/f.u.
volume = 53 Å³/f.u.

# 25
Here is Mn2ZnRu after structural relaxation from the Alexandria database. Energies are from PBEsol.

Cell lengths 8.529, 2.654, 4.425 Å; angles 90.00, 102.44, 90.00 degrees
Space group Cm (No. 8)
Unique sites:
Mn 0.000 0.000 0.000 x2
Mn 0.243 0.500 0.257 x2
Zn 0.498 0.000 0.495 x2
Ru 0.256 0.000 0.771 x2

Computed properties:
energy relative to the elements = 0.630 eV/f.u.
volume = 49 Å³/f.u.

# 26
Here is Mn2ZnRu after structural relaxation from the Alexandria database. Energies are from PBEsol.

Cell lengths 4.250, 4.250, 2.850 Å; angles 90.00, 90.00, 90.00 degrees
Space group P4/mmm (No. 123)
Unique sites:
Mn 0.000 0.500 0.000 x2
Zn 0.000 0.000 0.500 x1
Ru 0.500 0.500 0.500 x1

Computed properties:
energy relative to the elements = 0.783 eV/f.u.
volume = 51 Å³/f.u.

# 27
Here is MnZnRu after structural relaxation from the Alexandria database. Energies are from PBEsol.

Cell lengths 2.752, 2.752, 9.734 Å; angles 90.00, 90.00, 90.00 degrees
Space group I4mm (No. 107)
Unique sites:
Mn 0.000 0.000 0.000 x2
Zn 0.000 0.000 0.333 x2
Ru 0.000 0.000 0.650 x2

Computed properties:
energy relative to the elements = 0.119 eV/f.u.
volume = 37 Å³/f.u.
distance to the lowest polymorph of the same formula = 0 meV per atom

# 28
Here is MnZnRu2 after structural relaxation from the Alexandria database. Energies are from PBEsol.

Cell lengths 8.556, 2.664, 4.609 Å; angles 90.00, 101.45, 90.00 degrees
Space group C2/m (No. 12)
Unique sites:
Mn 0.000 0.000 0.000 x2
Zn 0.000 0.500 0.500 x2
Ru 0.240 0.500 0.241 x4

Computed properties:
energy relative to the elements = 0.436 eV/f.u.
volume = 51 Å³/f.u.

# 29
Here is ZrMn2Ru after structural relaxation from the Alexandria database. Energies are from PBEsol.

Cell lengths 2.984, 2.984, 6.466 Å; angles 90.00, 90.00, 90.00 degrees
Space group P4/mmm (No. 123)
Unique sites:
Zr 0.000 0.000 0.000 x1
Mn 0.500 0.500 0.283 x2
Ru 0.000 0.000 0.500 x1

Computed properties:
energy relative to the elements = 0.684 eV/f.u.
volume = 58 Å³/f.u.
distance to the lowest polymorph of the same formula = 28 meV per atom

# 30
Here is ZrMnRu2 after structural relaxation from the Alexandria database. Energies are from PBEsol.

Cell lengths 2.7297, 2.7297, 27.1259 Å; angles 90.00, 90.00, 120.00 degrees
Space group R3m (No. 160, hexagonal axes)
Unique sites:
Zr 0.0000 0.0000 0.0000 x3
Mn 0.0000 0.0000 0.2439 x3
Ru 0.0000 0.0000 0.5037 x3
Ru 0.0000 0.0000 0.7586 x3

Computed properties:
energy relative to the elements = 1.314 eV/f.u.
volume = 58 Å³/f.u.

# 31
Here is Zr3MnRu after structural relaxation from the Alexandria database. Energies are from PBEsol.

Cell lengths 4.915, 4.915, 4.915 Å; angles 90.00, 90.00, 90.00 degrees
Space group Pm-3m (No. 221)
Unique sites:
Zr 0.000 0.000 0.500 x3
Mn 0.500 0.500 0.500 x1
Ru 0.000 0.000 0.000 x1

Computed properties:
energy relative to the elements = 3.212 eV/f.u.
volume = 119 Å³/f.u.